The following is a PBEsol calculation of a geometry-optimized Ca3TlAs structure, from Alexandria via LeMat-Bulk.

Lattice parameters (Å, degrees): 5.522 5.522 5.522 90.00 90.00 90.00
Element x y z (fractional)
Ca 0.000 0.000 0.500
Ca 0.000 0.500 0.000
Ca 0.500 0.000 0.000
Tl 0.500 0.500 0.500
As 0.000 0.000 0.000

Results
Formation energy from the elements in meV/atom: -587
DOS at the Fermi energy in states/eV/atom: 0.77
Total magnetization in μB/f.u.: 0.00
Final energy in eV/atom: -3.414
Energy relative to the lowest polymorph listed for this composition in meV per atom: 0.0